The following is a DFT calculation (PBE) of a geometry-optimized SrInMo2 structure.

```
8
Lattice="-7.071 4.075 -0.861 0.497 -0.858 -8.147 -4.699 -0.806 -4.335" Properties=species:S:1:pos:R:3 pbc="T T T"
Sr -3.287 1.609 -4.504
Sr -3.745 -0.028 -8.493
Mo -5.818 2.403 -2.675
Mo -1.463 -0.393 -6.248
Mo -6.010 0.636 -6.300
Mo -9.257 2.176 -11.462
In 0.000 0.000 0.000
In -7.529 2.439 -4.850
```

Results
Its total energy is -41.82 eV/cell. The magnetization is 0.000 μB per formula unit.